No. 1
DFT (PBE) results for a relaxed structure of Be2Al2Cd.

POSCAR file:
```
Be2Al2Cd
1.0
7.0138 0.0000 0.0000
0.0000 7.0138 0.0000
0.0000 0.0000 2.9768
Be Al Cd
4 4 2
Direct
0.1096 0.3904 0.0000 Be
0.3904 0.8904 0.0000 Be
0.6096 0.1096 0.0000 Be
0.8904 0.6096 0.0000 Be
0.1799 0.6799 0.5000 Al
0.3201 0.1799 0.5000 Al
0.6799 0.8201 0.5000 Al
0.8201 0.3201 0.5000 Al
0.0000 0.0000 0.0000 Cd
0.5000 0.5000 0.0000 Cd
```

Results
D(E_F)   0.40 states/eV/atom
Crystal system   tetragonal
Distance to the lowest polymorph of the same formula   0.0 meV per atom

No. 2
DFT (PBE) results for a relaxed structure of Pm2Ge4Rh.

POSCAR file:
```
Pm2Ge4Rh
1.0
5.9766 0.0000 0.0000
0.0000 5.9766 0.0000
0.0000 0.0000 4.4570
Pm Ge Rh
2 4 1
Direct
0.0000 0.5000 0.0000 Pm
0.5000 0.0000 0.0000 Pm
0.2119 0.2119 0.5000 Ge
0.2119 0.7881 0.5000 Ge
0.7881 0.2119 0.5000 Ge
0.7881 0.7881 0.5000 Ge
0.5000 0.5000 0.5000 Rh
```

Results
D(E_F)   0.68 states/eV/atom
Crystal system   tetragonal
Distance to the lowest polymorph of the same formula   0.0 meV per atom

No. 3
DFT (PBE) results for a relaxed structure of Zn2AgGeBi.

POSCAR file:
```
Zn2AgGeBi
1.0
4.8306 0.0000 0.0000
0.0000 4.8306 0.0000
0.0000 0.0000 5.6677
Zn Ag Ge Bi
2 1 1 1
Direct
0.0000 0.5000 0.0000 Zn
0.5000 0.0000 0.0000 Zn
0.0000 0.0000 0.0000 Ag
0.5000 0.5000 0.5000 Ge
0.0000 0.0000 0.5000 Bi
```

Results
D(E_F)   0.50 states/eV/atom
Crystal system   tetragonal

No. 4
DFT (PBE) results for a relaxed structure of ThNpPt2.

POSCAR file:
```
ThNpPt2
1.0
5.0553 0.0000 0.0000
0.0000 5.0553 0.0000
0.0000 0.0000 3.5486
Th Np Pt
1 1 2
Direct
0.0000 0.0000 0.0000 Th
0.5000 0.5000 0.0000 Np
0.0000 0.5000 0.5000 Pt
0.5000 0.0000 0.5000 Pt
```

Results
D(E_F)   2.19 states/eV/atom
Crystal system   tetragonal
Distance to the lowest polymorph of the same formula   79.7 meV per atom

No. 5
DFT (PBE) results for a relaxed structure of La3Tm6Sc2.

POSCAR file:
```
La3Tm6Sc2
1.0
2.7976 1.6152 12.6303
-2.7976 1.6152 12.6303
0.0000 -3.2304 12.6303
La Tm Sc
3 6 2
Direct
0.0000 0.0000 0.0000 La
0.2802 0.2802 0.2802 La
0.7198 0.7198 0.7198 La
0.0955 0.0955 0.0955 Tm
0.1856 0.1856 0.1856 Tm
0.3772 0.3772 0.3772 Tm
0.6228 0.6228 0.6228 Tm
0.8144 0.8144 0.8144 Tm
0.9045 0.9045 0.9045 Tm
0.4612 0.4612 0.4612 Sc
0.5388 0.5388 0.5388 Sc
```

Results
D(E_F)   1.51 states/eV/atom
Crystal system   trigonal

No. 6
DFT (PBE) results for a relaxed structure of Sc2CrIn.

POSCAR file:
```
Sc2CrIn
1.0
7.5410 0.0000 0.0000
0.0000 7.5410 0.0000
0.0000 0.0000 5.7629
Sc Cr In
8 4 4
Direct
0.2106 0.2500 0.1250 Sc
0.2500 0.7106 0.3750 Sc
0.2500 0.7894 0.8750 Sc
0.2894 0.2500 0.6250 Sc
0.7106 0.7500 0.6250 Sc
0.7500 0.2106 0.8750 Sc
0.7500 0.2894 0.3750 Sc
0.7894 0.7500 0.1250 Sc
0.0000 0.0000 0.0000 Cr
0.0000 0.5000 0.2500 Cr
0.5000 0.0000 0.7500 Cr
0.5000 0.5000 0.5000 Cr
0.0000 0.0000 0.5000 In
0.0000 0.5000 0.7500 In
0.5000 0.0000 0.2500 In
0.5000 0.5000 0.0000 In
```

Results
D(E_F)   1.25 states/eV/atom
Crystal system   tetragonal

Number 1: magnetic moment 0.00 μB per atom, energy relative to the elements 311.5 meV per atom. Number 2: magnetic moment 0.00 μB per atom, energy relative to the elements -556.0 meV per atom. Number 3: magnetic moment 0.00 μB per atom, energy relative to the elements 544.1 meV per atom. Number 4: magnetic moment 1.09 μB per atom, energy relative to the elements -704.8 meV per atom. Number 5: magnetic moment 0.00 μB per atom, energy relative to the elements 98.3 meV per atom. Number 6: magnetic moment 0.00 μB per atom, energy relative to the elements 454.7 meV per atom.